! Zr2MnF (PBE+U, relaxed); values from VASP
! Total energy   -6.70 eV/atom
! Crystal system   tetragonal
! Space-group type   I-42d, No. 122
! M_tot   8.09 Bohr magnetons per cell
&SYSTEM
  ibrav = 0, nat = 8, ntyp = 3
/
ATOMIC_SPECIES
Zr 91.22 Zr.upf
F 19.00 F.upf
Mn 54.94 Mn.upf
CELL_PARAMETERS angstrom
-1.364 -3.474 -3.912
4.806 0.766 -2.356
4.101 -6.039 0.197
ATOMIC_POSITIONS angstrom
Zr 4.982 -5.446 -2.504
F 1.721 -1.354 -3.134
F 5.314 -3.313 -2.646
Zr 5.472 -6.996 -5.035
Mn 0.000 0.000 0.000
Mn 2.229 -5.433 -3.424
Zr 3.684 -1.910 -2.413
Zr 0.948 -3.140 -2.189